DFT (PBE) results for a relaxed La2TeAsPd6 crystal.

```
La2TeAsPd6
1.0
5.5513 0.0000 0.0000
0.0000 8.8750 0.0000
0.0000 0.0000 8.8613
La Te As Pd
4 2 2 12
Direct
0.2500 0.0056 0.2448
0.2500 0.4944 0.2448
0.7500 0.5056 0.7552
0.7500 0.9944 0.7552
0.2500 0.2500 0.7804
0.7500 0.7500 0.2196
0.2500 0.7500 0.7411
0.7500 0.2500 0.2589
0.0012 0.7500 0.9683
0.0024 0.2500 0.4947
0.2500 0.0025 0.6049
0.2500 0.4975 0.6049
0.4976 0.2500 0.4947
0.4988 0.7500 0.9683
0.5012 0.2500 0.0317
0.5024 0.7500 0.5053
0.7500 0.5025 0.3951
0.7500 0.9975 0.3951
0.9976 0.7500 0.5053
0.9988 0.2500 0.0317
```

As for the size of the total moment: 0.00 μB per formula unit. The calculation puts the formation energy without anion corrections at -0.751 eV/atom. The electronic total energy is -56.31 eV/f.u. The density of states at the Fermi level comes out at 10.26 states/eV per cell.

DFT (PBE) results for a relaxed La2TiAs4Pd3 crystal.

```
La2TiAs4Pd3
1.0
4.4230 0.0000 0.0000
0.0000 4.4230 0.0000
0.0000 0.0000 10.3851
La Ti As Pd
2 1 4 3
Direct
0.0000 0.5000 0.2320
0.5000 0.0000 0.7680
0.0000 0.0000 0.5000
0.0000 0.0000 0.0000
0.0000 0.5000 0.6343
0.5000 0.0000 0.3657
0.5000 0.5000 0.0000
0.0000 0.5000 0.8769
0.5000 0.0000 0.1231
0.5000 0.5000 0.5000
```

As for the size of the total moment: 1.13 μB per formula unit. The calculation puts the formation energy at -910 kJ/mol of formula units. The electronic total energy is -61.36 eV/f.u. The density of states at the Fermi level comes out at 5.71 states/eV per cell.

DFT (PBE) results for a relaxed La2UAs4Pd3 crystal.

```
La2UAs4Pd3
1.0
4.5081 0.0000 0.0000
0.0000 4.5081 0.0000
0.0000 0.0000 10.8948
La U As Pd
2 1 4 3
Direct
0.0000 0.5000 0.2156
0.5000 0.0000 0.7844
0.0000 0.0000 0.5000
0.0000 0.0000 0.0000
0.0000 0.5000 0.6589
0.5000 0.0000 0.3411
0.5000 0.5000 0.0000
0.0000 0.5000 0.8896
0.5000 0.0000 0.1104
0.5000 0.5000 0.5000
```

As for the size of the total moment: 2.94 μB per formula unit. The calculation puts the formation energy at -778 kJ/mol of formula units. The electronic total energy is -63.39 eV/f.u. The density of states at the Fermi level comes out at 8.78 states/eV per cell.

DFT (PBE) results for a relaxed LaYAs2Pd2 crystal.

```
LaYAs2Pd2
1.0
4.3812 0.0000 0.0000
-2.1906 3.7942 0.0000
0.0000 0.0000 7.7402
La Y As Pd
1 1 2 2
Direct
0.0000 0.0000 0.0000
0.0000 0.0000 0.5000
0.3333 0.6667 0.2549
0.6667 0.3333 0.7451
0.3333 0.6667 0.7279
0.6667 0.3333 0.2721
```

As for the size of the total moment: 0.00 μB per formula unit. The calculation puts the formation energy at -705 kJ/mol of formula units. The electronic total energy is -38.38 eV/f.u. The density of states at the Fermi level comes out at 1.08 states/eV per cell.

DFT (PBE) results for a relaxed La2ZrAs4Pd3 crystal.

```
La2ZrAs4Pd3
1.0
4.4605 0.0000 0.0000
0.0000 4.4605 0.0000
0.0000 0.0000 10.5803
La Zr As Pd
2 1 4 3
Direct
0.0000 0.5000 0.2225
0.5000 0.0000 0.7775
0.0000 0.0000 0.5000
0.0000 0.0000 0.0000
0.0000 0.5000 0.6435
0.5000 0.0000 0.3565
0.5000 0.5000 0.0000
0.0000 0.5000 0.8816
0.5000 0.0000 0.1184
0.5000 0.5000 0.5000
```

As for the size of the total moment: 0.00 μB per formula unit. The calculation puts the formation energy at -931 kJ/mol of formula units. The electronic total energy is -62.23 eV/f.u. The density of states at the Fermi level comes out at 7.37 states/eV per cell.

DFT (PBE) results for a relaxed LaPmAs crystal.

```
LaPmAs
1.0
4.1361 0.0000 0.0000
-2.0681 3.5820 0.0000
0.0000 0.0000 6.8408
La Pm As
1 1 1
Direct
0.0000 0.0000 0.0000
0.6667 0.3333 0.5096
0.3333 0.6667 0.2624
```

As for the size of the total moment: 1.19 μB per formula unit. The calculation puts the formation energy at -254 kJ/mol of formula units. The electronic total energy is -16.96 eV/f.u. The density of states at the Fermi level comes out at 2.85 states/eV per cell. The calculation puts the polymorph energy (0 for the lowest one) at 0 meV per atom.

DFT (PBE) results for a relaxed La5PmAs6 crystal.

```
La5PmAs6
1.0
3.7707 -6.5299 0.0000
3.7707 6.5299 0.0000
-2.5142 0.0000 7.1095
La Pm As
5 1 6
Direct
0.0000 0.0000 0.0000
0.1665 0.8335 0.5000
0.3330 0.6670 0.0000
0.6670 0.3330 0.0000
0.8335 0.1665 0.5000
0.5000 0.5000 0.5000
0.0876 0.4175 0.2522
0.2529 0.2529 0.7482
0.4175 0.0876 0.2522
0.5825 0.9124 0.7478
0.7471 0.7471 0.2518
0.9124 0.5825 0.7478
```

As for the size of the total moment: 0.00 μB per formula unit. The calculation puts the formation energy at -1813 kJ/mol of formula units. The electronic total energy is -76.07 eV/f.u. The density of states at the Fermi level comes out at 0.63 states/eV per cell.

DFT (PBE) results for a relaxed La3PmAs4 crystal.

```
La3PmAs4
1.0
4.3429 -6.1379 0.0000
4.3429 6.1379 0.0000
0.0000 0.0000 4.3441
La Pm As
3 1 4
Direct
0.0000 0.0000 0.0000
0.0000 0.5000 0.5000
0.5000 0.0000 0.5000
0.5000 0.5000 0.0000
0.2522 0.7478 0.0000
0.2540 0.2540 0.5000
0.7460 0.7460 0.5000
0.7478 0.2522 0.0000
```

As for the size of the total moment: 0.00 μB per formula unit. The calculation puts the formation energy at -1204 kJ/mol of formula units. The electronic total energy is -50.61 eV/f.u. The density of states at the Fermi level comes out at 0.66 states/eV per cell.

Among the records above, which one has the highest electronic total energy?
LaPmAs

Please write out number 6 again, unchanged.
DFT (PBE) results for a relaxed LaPmAs crystal.

```
LaPmAs
1.0
4.1361 0.0000 0.0000
-2.0681 3.5820 0.0000
0.0000 0.0000 6.8408
La Pm As
1 1 1
Direct
0.0000 0.0000 0.0000
0.6667 0.3333 0.5096
0.3333 0.6667 0.2624
```

As for the size of the total moment: 1.19 μB per formula unit. The calculation puts the formation energy at -254 kJ/mol of formula units. The electronic total energy is -16.96 eV/f.u. The density of states at the Fermi level comes out at 2.85 states/eV per cell. The calculation puts the polymorph energy (0 for the lowest one) at 0 meV per atom.